(1)
LaZr3Ta: optimized geometry, GGA-PBE.

Results
* D(E_F): 11.590 states/eV per cell
* symmetry: No. 221
* E_form: 0.628 eV/atom
* raw total energy: -39.29 eV per cell

Cell: 5.2459 5.2459 5.2459 Å, 90.00 90.00 90.00°
Element x y z (fractional)
Ta1 0.0000 0.0000 0.0000
La1 0.5000 0.5000 0.5000
Zr1 0.5000 0.0000 0.0000
Zr2 0.0000 0.5000 0.0000
Zr3 0.0000 0.0000 0.5000


(2)
LaZr2Ta: optimized geometry, GGA-PBE.

Results
* D(E_F): 5.424 states/eV per cell
* symmetry: No. 99
* E_form: 0.241 eV/atom
* raw total energy: -32.91 eV per cell

Cell: 3.7278 3.7278 7.2533 Å, 90.00 90.00 90.00°
Element x y z (fractional)
Zr1 0.0000 0.0000 0.9801
Ta1 0.5000 0.5000 0.8048
La1 0.0000 0.0000 0.5140
Zr2 0.5000 0.5000 0.2011


(3)
LaZr2Ta: optimized geometry, GGA-PBE.

Results
* D(E_F): 6.405 states/eV per cell
* symmetry: No. 35
* E_form: 0.304 eV/atom
* raw total energy: -32.66 eV per cell

Cell: 3.0829 3.0829 10.8417 Å, 90.00 90.00 113.02°
Element x y z (fractional)
Zr1 0.5000 0.5000 0.2255
La1 0.0000 0.0000 0.5198
Ta1 0.5000 0.5000 0.7692
Zr2 0.0000 0.0000 0.9854


Question: Look up the E_form of the second one.
Answer: 0.241 eV/atom